(1)
# CuPbO3 GGA-PBE relaxed
data_CuPbO3
_chemical_formula_sum 'Cu4 Pb4 O12'
_cell_length_a 3.7992
_cell_length_b 12.8248
_cell_length_c 5.2252
_cell_angle_alpha 90.00
_cell_angle_beta 90.00
_cell_angle_gamma 90.00
_space_group_name_H-M_alt 'C m c 21'
_space_group_IT_number 36
loop_
_space_group_symop_operation_xyz
'x,y,z'
'-x,-y,z+1/2'
'-x,y,z'
'x,-y,z+1/2'
'x+1/2,y+1/2,z'
'-x+1/2,-y+1/2,z+1/2'
'-x+1/2,y+1/2,z'
'x+1/2,-y+1/2,z+1/2'
loop_
_atom_site_label
_atom_site_fract_x
_atom_site_fract_y
_atom_site_fract_z
Cu1 0.0000 0.0703 0.0000
Pb1 0.0000 0.3500 0.0727
O1 0.0000 0.0811 0.4058
O2 0.0000 0.2110 0.8291
O3 0.0000 0.4331 0.4485
# - electronic total energy (eV per atom) = -5.192
# - energy relative to the elements, uncorrected (eV/f.u.) = -3.28

(2)
# Cu2PbO GGA-PBE relaxed
data_Cu2PbO
_chemical_formula_sum 'Cu8 Pb4 O4'
_cell_length_a 6.2357
_cell_length_b 6.2357
_cell_length_c 6.2357
_cell_angle_alpha 90.00
_cell_angle_beta 90.00
_cell_angle_gamma 90.00
_space_group_name_H-M_alt 'F m -3 m'
_space_group_IT_number 225
_space_group_name_Hall '-F 4 2 3'
loop_
_atom_site_label
_atom_site_fract_x
_atom_site_fract_y
_atom_site_fract_z
Cu1 0.2500 0.2500 0.2500
Pb1 0.0000 0.0000 0.0000
O1 0.0000 0.0000 0.5000
# - relative energy among the computed polymorphs (meV/atom) = 547
# - electronic total energy (eV per atom) = -3.821
# - energy relative to the elements, uncorrected (eV/f.u.) = 1.58

(3)
# CuPbO3 GGA-PBE relaxed
data_CuPbO3
_chemical_formula_sum 'Cu1 Pb1 O3'
_cell_length_a 4.1696
_cell_length_b 4.1696
_cell_length_c 4.1696
_cell_angle_alpha 90.00
_cell_angle_beta 90.00
_cell_angle_gamma 90.00
_space_group_name_H-M_alt 'P m -3 m'
_space_group_IT_number 221
_space_group_name_Hall '-P 4 2 3'
loop_
_atom_site_label
_atom_site_fract_x
_atom_site_fract_y
_atom_site_fract_z
Cu1 0.0000 0.0000 0.0000
Pb1 0.5000 0.5000 0.5000
O1 0.0000 0.5000 0.5000
# - electronic total energy (eV per atom) = -4.386
# - energy relative to the elements, uncorrected (eV/f.u.) = 0.75

(4)
# CuPb2O GGA-PBE relaxed
data_CuPb2O
_chemical_formula_sum 'Cu4 Pb8 O4'
_cell_length_a 5.7806
_cell_length_b 5.7806
_cell_length_c 11.7704
_cell_angle_alpha 90.00
_cell_angle_beta 90.00
_cell_angle_gamma 90.00
_space_group_name_H-M_alt 'I -4 2 d'
_space_group_IT_number 122
_space_group_name_Hall 'I -4 2bw'
loop_
_atom_site_label
_atom_site_fract_x
_atom_site_fract_y
_atom_site_fract_z
Cu1 0.0000 0.0000 0.0000
Pb1 0.2078 0.2500 0.6250
O1 0.0000 0.0000 0.5000
# - electronic total energy (eV per atom) = -4.277
# - energy relative to the elements, uncorrected (eV/f.u.) = -0.64